(1)
The following is a PBE calculation of an optimized crystal structure of MgInCuNi, from Alexandria via LeMat-Bulk.

Computed properties:
Energy of formation, eV per atom: -0.1367
Volume, Å³ per atom: 15.5
SG: No. 216
Crystal system: cubic

Geometry as CIF:
```
data_MgInCuNi
_chemical_formula_sum 'Mg1 In1 Cu1 Ni1'
_cell_length_a 4.438
_cell_length_b 4.438
_cell_length_c 4.438
_cell_angle_alpha 60.00
_cell_angle_beta 60.00
_cell_angle_gamma 60.00
_space_group_name_H-M_alt 'P 1'
_space_group_IT_number 1
loop_
_space_group_symop_operation_xyz
'x,y,z'
loop_
_atom_site_label
_atom_site_fract_x
_atom_site_fract_y
_atom_site_fract_z
_atom_site_occupancy
Mg1 0.000 0.000 0.000 1
In1 0.500 0.500 0.500 1
Cu1 0.750 0.750 0.750 1
Ni1 0.250 0.250 0.250 1
```

(2)
The following is a PBE calculation of an optimized crystal structure of Ce2AgCl8, from Alexandria via LeMat-Bulk.

Computed properties:
Volume, Å³ per atom: 28.5
SG: No. 12
Crystal system: monoclinic
Formation energy from raw total energies, eV per formula unit: -19.4

Geometry as CIF:
```
data_Ce2AgCl8
_chemical_formula_sum 'Ce2 Ag1 Cl8'
_cell_length_a 10.006
_cell_length_b 10.006
_cell_length_c 8.033
_cell_angle_alpha 90.85
_cell_angle_beta 90.85
_cell_angle_gamma 22.97
_space_group_name_H-M_alt 'P 1'
_space_group_IT_number 1
loop_
_space_group_symop_operation_xyz
'x,y,z'
loop_
_atom_site_label
_atom_site_fract_x
_atom_site_fract_y
_atom_site_fract_z
_atom_site_occupancy
Ce1 0.163 0.163 0.313 1
Ce2 0.837 0.837 0.687 1
Ag1 0.500 0.500 0.000 1
Cl1 0.028 0.028 0.209 1
Cl2 0.229 0.229 0.656 1
Cl3 0.342 0.342 0.937 1
Cl4 0.395 0.395 0.505 1
Cl5 0.605 0.605 0.495 1
Cl6 0.658 0.658 0.063 1
Cl7 0.771 0.771 0.344 1
Cl8 0.972 0.972 0.791 1
```

(3)
The following is a PBE calculation of an optimized crystal structure of CdSi, from Alexandria via LeMat-Bulk.

Computed properties:
Volume, Å³ per atom: 19.7
SG: No. 65
Crystal system: orthorhombic
Formation energy from raw total energies, eV per formula unit: 0.9

Geometry as CIF:
```
data_CdSi
_chemical_formula_sum 'Cd1 Si1'
_cell_length_a 3.016
_cell_length_b 3.016
_cell_length_c 5.290
_cell_angle_alpha 90.00
_cell_angle_beta 90.00
_cell_angle_gamma 124.85
_space_group_name_H-M_alt 'P 1'
_space_group_IT_number 1
loop_
_space_group_symop_operation_xyz
'x,y,z'
loop_
_atom_site_label
_atom_site_fract_x
_atom_site_fract_y
_atom_site_fract_z
_atom_site_occupancy
Cd1 0.000 0.000 0.000 1
Si1 0.500 0.500 0.500 1
```

(4)
The following is a PBE calculation of an optimized crystal structure of NdHfNbIr2, from Alexandria via LeMat-Bulk.

Computed properties:
Energy of formation, eV per atom: -0.6983
Volume, Å³ per atom: 21.7
SG: No. 119
Crystal system: tetragonal

Geometry as CIF:
```
data_NdHfNbIr2
_chemical_formula_sum 'Nd1 Hf1 Nb1 Ir2'
_cell_length_a 6.243
_cell_length_b 6.243
_cell_length_c 6.243
_cell_angle_alpha 137.83
_cell_angle_beta 137.83
_cell_angle_gamma 61.17
_space_group_name_H-M_alt 'P 1'
_space_group_IT_number 1
loop_
_space_group_symop_operation_xyz
'x,y,z'
loop_
_atom_site_label
_atom_site_fract_x
_atom_site_fract_y
_atom_site_fract_z
_atom_site_occupancy
Nd1 0.000 0.000 0.000 1
Hf1 0.750 0.250 0.500 1
Nb1 0.250 0.750 0.500 1
Ir1 0.378 0.378 0.000 1
Ir2 0.622 0.622 0.000 1
```

(5)
The following is a PBE calculation of an optimized crystal structure of ZnIN2O, from Alexandria via LeMat-Bulk.

Computed properties:
Volume, Å³ per atom: 15.0
SG: No. 123
Crystal system: tetragonal
Formation energy from raw total energies, eV per formula unit: 10.6

Geometry as CIF:
```
data_ZnIN2O
_chemical_formula_sum 'Zn1 I1 N2 O1'
_cell_length_a 3.986
_cell_length_b 3.986
_cell_length_c 4.727
_cell_angle_alpha 90.00
_cell_angle_beta 90.00
_cell_angle_gamma 90.00
_space_group_name_H-M_alt 'P 1'
_space_group_IT_number 1
loop_
_space_group_symop_operation_xyz
'x,y,z'
loop_
_atom_site_label
_atom_site_fract_x
_atom_site_fract_y
_atom_site_fract_z
_atom_site_occupancy
Zn1 0.000 0.000 0.000 1
I1 0.500 0.500 0.000 1
N1 0.000 0.500 0.500 1
N2 0.500 0.000 0.500 1
O1 0.500 0.500 0.500 1
```

(6)
The following is a PBE calculation of an optimized crystal structure of Cd6AgAu8, from Alexandria via LeMat-Bulk.

Computed properties:
Energy of formation, eV per atom: -0.0569
Volume, Å³ per atom: 21.2
SG: No. 148
Crystal system: trigonal

Geometry as CIF:
```
data_Cd6AgAu8
_chemical_formula_sum 'Cd6 Ag1 Au8'
_cell_length_a 7.268
_cell_length_b 7.268
_cell_length_c 7.268
_cell_angle_alpha 68.09
_cell_angle_beta 68.09
_cell_angle_gamma 68.09
_space_group_name_H-M_alt 'P 1'
_space_group_IT_number 1
loop_
_space_group_symop_operation_xyz
'x,y,z'
loop_
_atom_site_label
_atom_site_fract_x
_atom_site_fract_y
_atom_site_fract_z
_atom_site_occupancy
Cd1 0.130 0.411 0.660 1
Cd2 0.340 0.870 0.589 1
Cd3 0.411 0.660 0.130 1
Cd4 0.589 0.340 0.870 1
Cd5 0.660 0.130 0.411 1
Cd6 0.870 0.589 0.340 1
Ag1 0.000 0.000 0.000 1
Au1 0.071 0.836 0.409 1
Au2 0.164 0.591 0.929 1
Au3 0.284 0.284 0.284 1
Au4 0.409 0.071 0.836 1
Au5 0.591 0.929 0.164 1
Au6 0.716 0.716 0.716 1
Au7 0.836 0.409 0.071 1
Au8 0.929 0.164 0.591 1
```

(7)
The following is a PBE calculation of an optimized crystal structure of Pm3ZrNi8, from Alexandria via LeMat-Bulk.

Computed properties:
Energy of formation, eV per atom: -0.3322
Volume, Å³ per atom: 15.6
SG: No. 160
Crystal system: trigonal

Geometry as CIF:
```
data_Pm3ZrNi8
_chemical_formula_sum 'Pm3 Zr1 Ni8'
_cell_length_a 8.836
_cell_length_b 8.836
_cell_length_c 8.836
_cell_angle_alpha 33.47
_cell_angle_beta 33.47
_cell_angle_gamma 33.47
_space_group_name_H-M_alt 'P 1'
_space_group_IT_number 1
loop_
_space_group_symop_operation_xyz
'x,y,z'
loop_
_atom_site_label
_atom_site_fract_x
_atom_site_fract_y
_atom_site_fract_z
_atom_site_occupancy
Pm1 0.000 0.000 0.000 1
Pm2 0.126 0.126 0.126 1
Pm3 0.625 0.625 0.625 1
Zr1 0.501 0.501 0.501 1
Ni1 0.061 0.061 0.557 1
Ni2 0.061 0.557 0.061 1
Ni3 0.070 0.563 0.563 1
Ni4 0.313 0.313 0.313 1
Ni5 0.557 0.061 0.061 1
Ni6 0.563 0.070 0.563 1
Ni7 0.563 0.563 0.070 1
Ni8 0.813 0.813 0.813 1
```

(8)
The following is a PBE calculation of an optimized crystal structure of KNaHgPd, from Alexandria via LeMat-Bulk.

Computed properties:
Energy of formation, eV per atom: -0.1672
Volume, Å³ per atom: 29.8
SG: No. 160
Crystal system: trigonal

Geometry as CIF:
```
data_KNaHgPd
_chemical_formula_sum 'K1 Na1 Hg1 Pd1'
_cell_length_a 6.487
_cell_length_b 6.487
_cell_length_c 6.487
_cell_angle_alpha 43.94
_cell_angle_beta 43.94
_cell_angle_gamma 43.94
_space_group_name_H-M_alt 'P 1'
_space_group_IT_number 1
loop_
_space_group_symop_operation_xyz
'x,y,z'
loop_
_atom_site_label
_atom_site_fract_x
_atom_site_fract_y
_atom_site_fract_z
_atom_site_occupancy
K1 0.000 0.000 0.000 1
Na1 0.198 0.198 0.198 1
Hg1 0.461 0.461 0.461 1
Pd1 0.797 0.797 0.797 1
```

(9)
The following is a PBE calculation of an optimized crystal structure of EuTmN, from Alexandria via LeMat-Bulk.

Computed properties:
Volume, Å³ per atom: 24.7
SG: No. 107
Crystal system: tetragonal
Formation energy from raw total energies, eV per formula unit: -2.2

Geometry as CIF:
```
data_EuTmN
_chemical_formula_sum 'Eu1 Tm1 N1'
_cell_length_a 7.224
_cell_length_b 7.224
_cell_length_c 7.224
_cell_angle_alpha 153.68
_cell_angle_beta 153.68
_cell_angle_gamma 37.56
_space_group_name_H-M_alt 'P 1'
_space_group_IT_number 1
loop_
_space_group_symop_operation_xyz
'x,y,z'
loop_
_atom_site_label
_atom_site_fract_x
_atom_site_fract_y
_atom_site_fract_z
_atom_site_occupancy
Eu1 0.000 0.000 0.000 1
Tm1 0.295 0.295 0.000 1
N1 0.824 0.824 0.000 1
```

(10)
The following is a PBE calculation of an optimized crystal structure of LaTbNiGe, from Alexandria via LeMat-Bulk.

Computed properties:
Energy of formation, eV per atom: -0.4788
Volume, Å³ per atom: 23.1
SG: No. 216
Crystal system: cubic

Geometry as CIF:
```
data_LaTbNiGe
_chemical_formula_sum 'La1 Tb1 Ni1 Ge1'
_cell_length_a 5.077
_cell_length_b 5.077
_cell_length_c 5.077
_cell_angle_alpha 60.00
_cell_angle_beta 60.00
_cell_angle_gamma 60.00
_space_group_name_H-M_alt 'P 1'
_space_group_IT_number 1
loop_
_space_group_symop_operation_xyz
'x,y,z'
loop_
_atom_site_label
_atom_site_fract_x
_atom_site_fract_y
_atom_site_fract_z
_atom_site_occupancy
La1 0.000 0.000 0.000 1
Tb1 0.500 0.500 0.500 1
Ni1 0.250 0.250 0.250 1
Ge1 0.750 0.750 0.750 1
```

(11)
The following is a PBE calculation of an optimized crystal structure of BaLaBr2, from Alexandria via LeMat-Bulk.

Computed properties:
Volume, Å³ per atom: 36.6
SG: No. 99
Crystal system: tetragonal
Formation energy from raw total energies, eV per formula unit: -5.3

Geometry as CIF:
```
data_BaLaBr2
_chemical_formula_sum 'Ba1 La1 Br2'
_cell_length_a 4.302
_cell_length_b 4.302
_cell_length_c 7.917
_cell_angle_alpha 90.00
_cell_angle_beta 90.00
_cell_angle_gamma 90.00
_space_group_name_H-M_alt 'P 1'
_space_group_IT_number 1
loop_
_space_group_symop_operation_xyz
'x,y,z'
loop_
_atom_site_label
_atom_site_fract_x
_atom_site_fract_y
_atom_site_fract_z
_atom_site_occupancy
Ba1 0.000 0.000 0.000 1
La1 0.500 0.500 0.617 1
Br1 0.000 0.000 0.557 1
Br2 0.500 0.500 0.219 1
```

(12)
The following is a PBE calculation of an optimized crystal structure of Ce2HoHg5, from Alexandria via LeMat-Bulk.

Computed properties:
Energy of formation, eV per atom: -0.3274
Volume, Å³ per atom: 25.6
SG: No. 139
Crystal system: tetragonal

Geometry as CIF:
```
data_Ce2HoHg5
_chemical_formula_sum 'Ce2 Ho1 Hg5'
_cell_length_a 8.643
_cell_length_b 8.643
_cell_length_c 8.643
_cell_angle_alpha 145.62
_cell_angle_beta 145.62
_cell_angle_gamma 49.41
_space_group_name_H-M_alt 'P 1'
_space_group_IT_number 1
loop_
_space_group_symop_operation_xyz
'x,y,z'
loop_
_atom_site_label
_atom_site_fract_x
_atom_site_fract_y
_atom_site_fract_z
_atom_site_occupancy
Ce1 0.238 0.238 0.000 1
Ce2 0.762 0.762 0.000 1
Ho1 0.500 0.500 0.000 1
Hg1 0.000 0.000 0.000 1
Hg2 0.118 0.618 0.500 1
Hg3 0.382 0.882 0.500 1
Hg4 0.618 0.118 0.500 1
Hg5 0.882 0.382 0.500 1
```

no.,energy (Ry per atom)
1,-0.271
2,-0.327
3,-0.199
4,-0.676
5,-0.204
6,-0.174
7,-0.447
8,-0.158
9,-0.618
10,-0.402
11,-0.286
12,-0.189